(1)
# GdErGa3Si2

GdErGa3Si2 after structural relaxation (GGA-PBE, OQMD).

**Raw total energy**: -32.97 eV/f.u.

Unit cell a=5.5238 b=5.5238 c=6.6023 alpha=100.43 beta=100.43 gamma=43.14
Positions (direct):
Er1 0.3813 0.3813 0.1841
Ga1 0.6965 0.6965 0.3588
Ga2 0.9982 0.9982 0.4982
Ga3 0.3041 0.3041 0.6385
Gd1 0.6192 0.6192 0.8158
Si1 0.0939 0.0939 0.1354
Si2 0.9068 0.9068 0.8692

=====

(2)
# SmGd2ErGa2

SmGd2ErGa2 after structural relaxation (GGA-PBE, OQMD).

**Raw total energy**: -26.91 eV/f.u.

Unit cell a=5.1947 b=5.1947 c=6.6648 alpha=90.00 beta=90.00 gamma=120.00
Last column: magnetic moment on the atom in μB.
Positions (direct):
Er1 0.0000 0.0000 0.0000  0.15
Ga1 0.6667 0.3333 0.0000  -0.01
Ga2 0.0000 0.0000 0.5000  0.00
Gd1 0.3333 0.6667 0.2448  0.15
Gd2 0.3333 0.6667 0.7552  0.16
Sm1 0.6667 0.3333 0.5000  0.08

=====

(3)
# Gd2ErTmGa2

Gd2ErTmGa2 after structural relaxation (GGA-PBE, OQMD).

**Raw total energy**: -26.71 eV/f.u.

Unit cell a=5.1604 b=5.1604 c=6.5955 alpha=90.00 beta=90.00 gamma=120.00
Last column: magnetic moment on the atom in μB.
Positions (direct):
Er1 0.0000 0.0000 0.5000  0.07
Ga1 0.0000 0.0000 0.0000  -0.01
Ga2 0.3333 0.6667 0.5000  0.00
Gd1 0.6667 0.3333 0.2493  0.10
Gd2 0.6667 0.3333 0.7507  0.10
Tm1 0.3333 0.6667 0.0000  0.09

=====

(4)
# Ho2ErGa3NiGe2

Ho2ErGa3NiGe2 after structural relaxation (GGA-PBE, OQMD).

**Raw total energy**: -44.07 eV/f.u.

Unit cell a=4.1302 b=6.9615 c=6.9615 alpha=119.99 beta=90.00 gamma=90.00
Positions (direct):
Er1 0.0000 0.3992 0.3992
Ga1 0.5000 0.2288 0.0000
Ga2 0.5000 0.0000 0.2288
Ga3 0.5000 0.7712 0.7712
Ge1 0.5000 0.6666 0.3334
Ge2 0.5000 0.3334 0.6666
Ho1 0.0000 0.6007 0.0000
Ho2 0.0000 0.0000 0.6007
Ni1 0.0000 0.0001 0.0001

=====

(5)
# Er3MgGa2Ge2Pt

Er3MgGa2Ge2Pt after structural relaxation (GGA-PBE, OQMD).

**Raw total energy**: -43.03 eV/f.u.

Unit cell a=4.2778 b=7.0792 c=7.0792 alpha=121.18 beta=90.00 gamma=90.00
Positions (direct):
Er1 0.0000 0.5920 0.0024
Er2 0.0000 0.4073 0.4073
Er3 0.0000 0.0024 0.5920
Ga1 0.5000 0.6618 0.3341
Ga2 0.5000 0.3341 0.6618
Ge1 0.5000 0.9879 0.2458
Ge2 0.5000 0.2458 0.9879
Mg1 0.5000 0.7679 0.7679
Pt1 0.0000 0.0009 0.0009

=====

(6)
# Er3Ga3Ni2Ge

Er3Ga3Ni2Ge after structural relaxation (GGA-PBE, OQMD).

**Polymorph energy (0 for the lowest one)**: 0.0000 eV/atom

Unit cell a=7.2064 b=7.2064 c=3.7256 alpha=90.00 beta=90.00 gamma=120.00
Positions (direct):
Er1 0.6007 0.0000 0.5000
Er2 0.3993 0.3993 0.5000
Er3 0.0000 0.6007 0.5000
Ga1 0.2782 0.0000 0.0000
Ga2 0.0000 0.2782 0.0000
Ga3 0.7218 0.7218 0.0000
Ge1 0.0000 0.0000 0.5000
Ni1 0.6667 0.3333 0.0000
Ni2 0.3333 0.6667 0.0000

=====

(7)
# Er3Ga3Ni2Ge

Er3Ga3Ni2Ge after structural relaxation (GGA-PBE, OQMD).

**Polymorph energy (0 for the lowest one)**: 0.3445 eV/atom

Unit cell a=7.7602 b=7.7602 c=3.3082 alpha=90.00 beta=90.00 gamma=120.00
Positions (direct):
Er1 0.3061 0.0000 0.5000
Er2 0.0000 0.3061 0.5000
Er3 0.6939 0.6939 0.5000
Ga1 0.6224 0.0000 0.0000
Ga2 0.3776 0.3776 0.0000
Ga3 0.0000 0.6224 0.0000
Ge1 0.0000 0.0000 0.0000
Ni1 0.6667 0.3333 0.5000
Ni2 0.3333 0.6667 0.5000

=====

(8)
# Er3Ga2NiGe3

Er3Ga2NiGe3 after structural relaxation (GGA-PBE, OQMD).

**Raw total energy**: -44.56 eV/f.u.

Unit cell a=6.9678 b=6.9678 c=4.1054 alpha=90.00 beta=90.00 gamma=120.00
Positions (direct):
Er1 0.6108 0.0000 0.0000
Er2 0.3892 0.3892 0.0000
Er3 0.0000 0.6108 0.0000
Ga1 0.6667 0.3333 0.5000
Ga2 0.3333 0.6667 0.5000
Ge1 0.2431 0.0000 0.5000
Ge2 0.0000 0.2431 0.5000
Ge3 0.7569 0.7569 0.5000
Ni1 0.0000 0.0000 0.0000

=====

(9)
# TbEr2Ga3NiGe2

TbEr2Ga3NiGe2 after structural relaxation (GGA-PBE, OQMD).

**Raw total energy**: -44.11 eV/f.u.

Unit cell a=4.1366 b=6.9631 c=6.9631 alpha=120.14 beta=90.00 gamma=90.00
Positions (direct):
Er1 0.0000 0.9996 0.3991
Er2 0.0000 0.3991 0.9996
Ga1 0.5000 0.7705 0.0013
Ga2 0.5000 0.2293 0.2293
Ga3 0.5000 0.0013 0.7705
Ge1 0.5000 0.6674 0.3312
Ge2 0.5000 0.3312 0.6674
Ni1 0.0000 0.0021 0.0021
Tb1 0.0000 0.5994 0.5994

=====

(10)
# Tb2ErGa3NiGe2

Tb2ErGa3NiGe2 after structural relaxation (GGA-PBE, OQMD).

**Raw total energy**: -44.21 eV/f.u.

Unit cell a=4.1524 b=6.9720 c=6.9720 alpha=119.86 beta=90.00 gamma=90.00
Positions (direct):
Er1 0.0000 0.3987 0.3987
Ga1 0.5000 0.2299 0.0014
Ga2 0.5000 0.0014 0.2299
Ga3 0.5000 0.7700 0.7700
Ge1 0.5000 0.6643 0.3341
Ge2 0.5000 0.3341 0.6643
Ni1 0.0000 0.0023 0.0023
Tb1 0.0000 0.9996 0.5997
Tb2 0.0000 0.5997 0.9996

=====

(11)
# ErTm2Ga3NiGe2

ErTm2Ga3NiGe2 after structural relaxation (GGA-PBE, OQMD).

**Raw total energy**: -43.78 eV/f.u.

Unit cell a=4.1114 b=6.9276 c=6.9276 alpha=120.05 beta=90.00 gamma=90.00
Positions (direct):
Er1 0.0000 0.5998 0.5998
Ga1 0.5000 0.7698 0.0004
Ga2 0.5000 0.2302 0.2302
Ga3 0.5000 0.0004 0.7698
Ge1 0.5000 0.6669 0.3326
Ge2 0.5000 0.3326 0.6669
Ni1 0.0000 0.0007 0.0007
Tm1 0.0000 0.9999 0.3997
Tm2 0.0000 0.3997 0.9999

=====

(12)
# Tb2ErGa3Ge2Pd

Tb2ErGa3Ge2Pd after structural relaxation (GGA-PBE, OQMD).

**Raw total energy**: -44.37 eV/f.u.

Unit cell a=4.2373 b=7.0056 c=7.0056 alpha=119.69 beta=90.00 gamma=90.00
Positions (direct):
Er1 0.0000 0.4102 0.4102
Ga1 0.5000 0.2374 0.0004
Ga2 0.5000 0.0004 0.2374
Ga3 0.5000 0.7630 0.7630
Ge1 0.5000 0.6641 0.3343
Ge2 0.5000 0.3343 0.6641
Pd1 0.0000 0.0038 0.0038
Tb1 0.0000 0.9989 0.5877
Tb2 0.0000 0.5877 0.9989

=====

(13)
# ErHfGa

ErHfGa after structural relaxation (GGA-PBE, OQMD).

**Polymorph energy (0 for the lowest one)**: 0.0000 eV/atom

Unit cell a=4.7026 b=4.7026 c=4.7026 alpha=60.00 beta=60.00 gamma=60.00
Positions (direct):
Er1 0.2500 0.2500 0.2500
Ga1 0.0000 0.0000 0.0000
Hf1 0.7500 0.7500 0.7500

=====

(14)
# ErHfGa2Pt4

ErHfGa2Pt4 after structural relaxation (GGA-PBE, OQMD).

**Raw total energy**: -53.03 eV/f.u.

Unit cell a=4.3312 b=4.3312 c=8.8900 alpha=90.00 beta=90.00 gamma=120.00
Positions (direct):
Er1 0.0000 0.0000 0.0000
Ga1 0.3333 0.6667 0.2503
Ga2 0.3333 0.6667 0.7497
Hf1 0.6667 0.3333 0.5000
Pt1 0.6667 0.3333 0.1715
Pt2 0.0000 0.0000 0.3461
Pt3 0.0000 0.0000 0.6539
Pt4 0.6667 0.3333 0.8285

=====

(15)
# HoEr2InGa2Hg3

HoEr2InGa2Hg3 after structural relaxation (GGA-PBE, OQMD).

**Raw total energy**: -27.48 eV/f.u.

Unit cell a=4.4437 b=7.3343 c=7.3343 alpha=120.04 beta=90.00 gamma=90.00
Positions (direct):
Er1 0.0000 0.5656 0.0002
Er2 0.0000 0.0002 0.5656
Ga1 0.5000 0.6672 0.3334
Ga2 0.5000 0.3334 0.6672
Hg1 0.5000 0.2652 0.0002
Hg2 0.5000 0.0002 0.2652
Hg3 0.5000 0.7349 0.7349
Ho1 0.0000 0.4340 0.4340
In1 0.0000 0.9994 0.9994

=====

(16)
# Er3Mg2InGa2Hg

Er3Mg2InGa2Hg after structural relaxation (GGA-PBE, OQMD).

**Raw total energy**: -30.10 eV/f.u.

Unit cell a=4.5237 b=7.2654 c=7.2654 alpha=120.59 beta=90.00 gamma=90.00
Positions (direct):
Er1 0.5000 0.9991 0.4379
Er2 0.5000 0.5527 0.5527
Er3 0.5000 0.4379 0.9991
Ga1 0.0000 0.6718 0.3323
Ga2 0.0000 0.3323 0.6718
Hg1 0.0000 0.2555 0.2555
In1 0.5000 0.9932 0.9932
Mg1 0.0000 0.7543 0.0034
Mg2 0.0000 0.0034 0.7543

=====

(17)
# ErTm2InGa2Hg3

ErTm2InGa2Hg3 after structural relaxation (GGA-PBE, OQMD).

**Raw total energy**: -27.15 eV/f.u.

Unit cell a=4.4345 b=7.3116 c=7.3116 alpha=120.04 beta=90.00 gamma=90.00
Positions (direct):
Er1 0.0000 0.5640 0.5640
Ga1 0.5000 0.6668 0.3329
Ga2 0.5000 0.3329 0.6668
Hg1 0.5000 0.2648 0.2648
Hg2 0.5000 0.9998 0.7350
Hg3 0.5000 0.7350 0.9998
In1 0.0000 0.0005 0.0005
Tm1 0.0000 0.9998 0.4363
Tm2 0.0000 0.4363 0.9998

=====

(18)
# HoEr2Ga

HoEr2Ga after structural relaxation (GGA-PBE, OQMD).

**Polymorph energy (0 for the lowest one)**: 0.1163 eV/atom

Unit cell a=5.1973 b=6.8489 c=6.8489 alpha=60.62 beta=90.00 gamma=90.00
Positions (direct):
Er1 0.5000 0.1624 0.1624
Er2 0.5000 0.6775 0.1721
Er3 0.5000 0.1721 0.6775
Er4 0.0000 0.8393 0.8393
Ga1 0.0000 0.8366 0.3122
Ga2 0.0000 0.3122 0.8366
Ho1 0.0000 0.3447 0.3447
Ho2 0.5000 0.6553 0.6553

=====

(19)
# HoErGa2

HoErGa2 after structural relaxation (GGA-PBE, OQMD).

**Raw total energy**: -17.72 eV/f.u.

Unit cell a=4.0308 b=5.8146 c=5.8146 alpha=43.51 beta=90.00 gamma=90.00
Positions (direct):
Er1 0.0000 0.6392 0.6392
Ga1 0.5000 0.0772 0.0772
Ga2 0.0000 0.9229 0.9229
Ho1 0.5000 0.3607 0.3607

=====

(20)
# HoErGa4

HoErGa4 after structural relaxation (GGA-PBE, OQMD).

**Polymorph energy (0 for the lowest one)**: 0.0000 eV/atom

Unit cell a=9.5558 b=9.5558 c=6.4349 alpha=90.00 beta=90.00 gamma=155.31
Positions (direct):
Er1 0.2653 0.7347 0.2500
Er2 0.7347 0.2653 0.7500
Ga1 0.0000 0.0000 0.0000
Ga2 0.8543 0.1457 0.0425
Ga3 0.4300 0.5700 0.2500
Ga4 0.8543 0.1457 0.4575
Ga5 0.0000 0.0000 0.5000
Ga6 0.1457 0.8543 0.5425
Ga7 0.5700 0.4300 0.7500
Ga8 0.1457 0.8543 0.9575
Ho1 0.5894 0.4106 0.2500
Ho2 0.4106 0.5894 0.7500

=====

(21)
# HoErGa2

HoErGa2 after structural relaxation (GGA-PBE, OQMD).

**Raw total energy**: -16.52 eV/f.u.

Unit cell a=4.9537 b=6.5474 c=6.5474 alpha=59.24 beta=90.00 gamma=90.00
Positions (direct):
Er1 0.5000 0.6949 0.1599
Er2 0.5000 0.1599 0.6949
Ga1 0.5000 0.1677 0.1677
Ga2 0.0000 0.8406 0.3081
Ga3 0.0000 0.8388 0.8388
Ga4 0.0000 0.3081 0.8406
Ho1 0.0000 0.3212 0.3212
Ho2 0.5000 0.6688 0.6688

=====

(22)
# HoErGa6

HoErGa6 after structural relaxation (GGA-PBE, OQMD).

**Raw total energy**: -31.44 eV/f.u.

Unit cell a=6.2365 b=6.2365 c=4.5452 alpha=90.00 beta=90.00 gamma=120.00
Positions (direct):
Er1 0.6667 0.3333 0.0000
Ga1 0.1847 0.3694 0.0000
Ga2 0.6306 0.8153 0.0000
Ga3 0.1847 0.8153 0.0000
Ga4 0.0361 0.5181 0.5000
Ga5 0.4819 0.5181 0.5000
Ga6 0.4819 0.9639 0.5000
Ho1 0.0000 0.0000 0.5000

=====

(23)
# HoEr2Ga

HoEr2Ga after structural relaxation (GGA-PBE, OQMD).

**Polymorph energy (0 for the lowest one)**: 0.0000 eV/atom

Unit cell a=4.8381 b=6.6982 c=6.6982 alpha=101.98 beta=90.00 gamma=90.00
Last column: magnetic moment on the atom in μB.
Positions (direct):
Er1 0.2500 0.9336 0.1593  0.07
Er2 0.2500 0.8681 0.6327  0.14
Er3 0.7500 0.6327 0.8681  0.14
Er4 0.7500 0.1593 0.9336  0.09
Ga1 0.2500 0.4257 0.0731  0.01
Ga2 0.7500 0.0731 0.4257  0.01
Ho1 0.7500 0.5673 0.3403  0.07
Ho2 0.2500 0.3403 0.5673  0.09

=====

(24)
# Ho2Er3Ga3

Ho2Er3Ga3 after structural relaxation (GGA-PBE, OQMD).

**Polymorph energy (0 for the lowest one)**: 0.1484 eV/atom

Unit cell a=6.8380 b=6.8380 c=4.9323 alpha=90.00 beta=90.00 gamma=120.00
Positions (direct):
Er1 0.3517 0.1759 0.5000
Er2 0.8241 0.1759 0.5000
Er3 0.8241 0.6483 0.5000
Ga1 0.5168 0.0335 0.0000
Ga2 0.5168 0.4832 0.0000
Ga3 0.9665 0.4832 0.0000
Ho1 0.0000 0.0000 0.0000
Ho2 0.3333 0.6667 0.5000